PmSmInCo | Alexandria via LeMat-Bulk | PBE-GGA | optimized geometry; formation energy from the elements = -132.4 meV per atom; total moment = 1.2 μB/f.u.
1.0
5.214 0.000 0.000
2.607 4.516 0.000
2.607 1.505 4.257
Co In Sm Pm
1 1 1 1
Direct
0.000 0.000 0.000
0.500 0.500 0.500
0.750 0.750 0.750
0.250 0.250 0.250